Density functional theory data (GGA-PBE) for an optimized crystal structure of Li3Cd2Rh2.

```
Li3Cd2Rh2
1.0
4.430 0.000 0.000
0.000 18.439 0.000
0.000 0.000 2.783
Li Cd Rh
6 4 4
Cartesian
0.000 0.000 0.000
0.000 5.355 0.000
0.000 13.084 0.000
2.215 3.864 0.000
2.215 9.220 0.000
2.215 14.575 0.000
0.000 2.546 1.392
0.000 15.894 1.392
2.215 6.674 1.392
2.215 11.765 1.392
0.000 7.939 0.000
0.000 10.500 0.000
2.215 1.281 0.000
2.215 17.159 0.000
```

Summary:
Calculated density ... 6.6 g cm⁻³
Energy above the lowest structure with this stoichiometry ... 7 meV per atom
DOS(E_F) ... 0.73 states/eV/atom
E_form ... -0.082 eV per atom
SG ... Cmmm, No. 65